[1]
Computed, not measured: a relaxed Li3HfRu crystal at the GGA-PBE level of DFT.

Values from the calculation:
* M_tot: 0.0 Bohr magnetons per cell

Lattice parameters (Å, degrees): 4.384 4.384 4.384 90.00 90.00 90.00
Positions (direct):
Li 0.000 0.000 0.500
Li 0.000 0.500 0.000
Li 0.500 0.000 0.000
Hf 0.500 0.500 0.500
Ru 0.000 0.000 0.000

---

[2]
Computed, not measured: a relaxed Li2HfRu crystal at the GGA-PBE level of DFT.

Values from the calculation:
* M_tot: 0.0 Bohr magnetons per cell

Lattice parameters (Å, degrees): 10.733 10.733 10.733 160.37 160.37 27.90
Positions (direct):
Li 0.095 0.625 0.970
Li 0.375 0.345 0.470
Li 0.655 0.125 0.030
Li 0.875 0.905 0.530
Hf 0.250 0.750 0.500
Hf 0.500 0.500 0.000
Ru 0.000 0.000 0.000
Ru 0.750 0.250 0.500

---

[3]
Computed, not measured: a relaxed LiHf2Ru crystal at the GGA-PBE level of DFT.

Values from the calculation:
* M_tot: 0.0 Bohr magnetons per cell

Lattice parameters (Å, degrees): 5.890 5.890 5.890 103.86 103.86 121.40
Positions (direct):
Li 0.000 0.000 0.000
Li 0.750 0.250 0.500
Hf 0.147 0.625 0.022
Hf 0.375 0.397 0.522
Hf 0.603 0.125 0.978
Hf 0.875 0.853 0.478
Ru 0.250 0.750 0.500
Ru 0.500 0.500 0.000

---

Summary of ΔH_f (0 K) in meV per atom
892; 87; 221
(order as listed above)